# PBE TcGe2P, optimized geometry
data_TcGe2P
_symmetry_space_group_name_H-M 'P 1'
_symmetry_Int_Tables_number 1
_symmetry_space_group_name_Hall 'P 1'
_cell_length_a 5.6846
_cell_length_b 5.6846
_cell_length_c 6.7333
_cell_angle_alpha 65.03
_cell_angle_beta 65.03
_cell_angle_gamma 90.00
loop_
_atom_site_label
_atom_site_fract_x
_atom_site_fract_y
_atom_site_fract_z
_atom_site_occupancy
P1 0.5000 0.5000 0.0000 1
P2 0.2500 0.7500 0.5000 1
Ge1 0.6246 0.1250 0.2500 1
Ge2 0.1254 0.6250 0.2500 1
Ge3 0.3750 0.3754 0.7500 1
Ge4 0.8750 0.8746 0.7500 1
Tc1 0.0000 0.0000 0.0000 1
Tc2 0.7500 0.2500 0.5000 1
# - Total magnetic moment: 0.000 μB/cell
# - E: -5.77 eV per atom

***

# PBE ErZrTe3, optimized geometry
data_ErZrTe3
_symmetry_space_group_name_H-M 'P 1'
_symmetry_Int_Tables_number 1
_symmetry_space_group_name_Hall 'P 1'
_cell_length_a 7.1126
_cell_length_b 7.1126
_cell_length_c 8.5720
_cell_angle_alpha 65.49
_cell_angle_beta 65.49
_cell_angle_gamma 60.00
loop_
_atom_site_label
_atom_site_fract_x
_atom_site_fract_y
_atom_site_fract_z
_atom_site_occupancy
Er1 0.1630 0.1630 0.5111 1
Er2 0.8370 0.8370 0.4889 1
Zr1 0.3339 0.3339 0.9982 1
Zr2 0.6661 0.6661 0.0018 1
Te1 0.2661 0.9271 0.2439 1
Te2 0.9271 0.5629 0.2439 1
Te3 0.5629 0.2661 0.2439 1
Te4 0.7339 0.4371 0.7561 1
Te5 0.0729 0.7339 0.7561 1
Te6 0.4371 0.0729 0.7561 1
# - Total magnetic moment: 1.002 μB/cell
# - ΔE_f (raw): -901 meV/atom
# - E: -5.41 eV per atom

***

# PBE KCaP2Pd4, optimized geometry
data_KCaP2Pd4
_symmetry_space_group_name_H-M 'P 1'
_symmetry_Int_Tables_number 1
_symmetry_space_group_name_Hall 'P 1'
_cell_length_a 4.1312
_cell_length_b 4.1312
_cell_length_c 10.6115
_cell_angle_alpha 90.00
_cell_angle_beta 90.00
_cell_angle_gamma 90.00
loop_
_atom_site_label
_atom_site_fract_x
_atom_site_fract_y
_atom_site_fract_z
_atom_site_occupancy
K1 0.0000 0.0000 0.5000 1
Ca1 0.0000 0.0000 0.0000 1
P1 0.5000 0.5000 0.3075 1
P2 0.5000 0.5000 0.6925 1
Pd1 0.0000 0.5000 0.2100 1
Pd2 0.5000 0.0000 0.7900 1
Pd3 0.5000 0.0000 0.2100 1
Pd4 0.0000 0.5000 0.7900 1
# - Total magnetic moment: 0.000 μB/cell
# - E: -4.89 eV per atom

***

# PBE La8GaS3Br4, optimized geometry
data_La8GaS3Br4
_symmetry_space_group_name_H-M 'P 1'
_symmetry_Int_Tables_number 1
_symmetry_space_group_name_Hall 'P 1'
_cell_length_a 8.4504
_cell_length_b 8.8664
_cell_length_c 8.4500
_cell_angle_alpha 118.46
_cell_angle_beta 120.00
_cell_angle_gamma 90.00
loop_
_atom_site_label
_atom_site_fract_x
_atom_site_fract_y
_atom_site_fract_z
_atom_site_occupancy
La1 0.2424 0.7114 0.9690 1
La2 0.2424 0.7114 0.4848 1
La3 0.2653 0.2958 0.5306 1
La4 0.7267 0.7114 0.9690 1
La5 0.2733 0.2886 0.0310 1
La6 0.7347 0.7042 0.4694 1
La7 0.7576 0.2886 0.5152 1
La8 0.7576 0.2886 0.0310 1
Ga1 0.0000 0.5000 0.0000 1
S1 0.5000 0.5000 0.0000 1
S2 0.5000 0.5000 0.5000 1
S3 0.0000 0.5000 0.5000 1
Br1 0.5000 0.0000 0.0000 1
Br2 0.5000 0.0000 0.5000 1
Br3 0.0000 0.0000 0.0000 1
Br4 0.0000 0.0000 0.5000 1
# - Total magnetic moment: 0.000 μB/cell
# - ΔE_f (raw): -1575 meV/atom
# - E: -5.42 eV per atom

***

# PBE Ag2IrSe, optimized geometry
data_Ag2IrSe
_symmetry_space_group_name_H-M 'P 1'
_symmetry_Int_Tables_number 1
_symmetry_space_group_name_Hall 'P 1'
_cell_length_a 5.4235
_cell_length_b 5.4235
_cell_length_c 5.4235
_cell_angle_alpha 138.47
_cell_angle_beta 138.47
_cell_angle_gamma 60.19
loop_
_atom_site_label
_atom_site_fract_x
_atom_site_fract_y
_atom_site_fract_z
_atom_site_occupancy
Ag1 0.0000 0.0000 0.0000 1
Ag2 0.5000 0.5000 0.0000 1
Ir1 0.2500 0.7500 0.5000 1
Se1 0.7500 0.2500 0.5000 1
# - Total magnetic moment: 0.000 μB/cell
# - ΔE_f (raw): 467 meV/atom
# - E: -4.05 eV per atom

***

# PBE Er3Ge2Pt6, optimized geometry
data_Er3Ge2Pt6
_symmetry_space_group_name_H-M 'P 1'
_symmetry_Int_Tables_number 1
_symmetry_space_group_name_Hall 'P 1'
_cell_length_a 8.1996
_cell_length_b 8.1996
_cell_length_c 8.1996
_cell_angle_alpha 109.47
_cell_angle_beta 109.47
_cell_angle_gamma 109.47
loop_
_atom_site_label
_atom_site_fract_x
_atom_site_fract_y
_atom_site_fract_z
_atom_site_occupancy
Er1 0.7061 0.0000 0.7061 1
Er2 0.2939 0.0000 0.2939 1
Er3 0.0000 0.2939 0.2939 1
Er4 0.0000 0.7061 0.7061 1
Er5 0.2939 0.2939 0.0000 1
Er6 0.7061 0.7061 0.0000 1
Ge1 0.0000 0.5000 0.0000 1
Ge2 0.5000 0.0000 0.0000 1
Ge3 0.0000 0.0000 0.5000 1
Ge4 0.5000 0.5000 0.5000 1
Pt1 0.6759 0.3518 0.6759 1
Pt2 0.6759 0.0000 0.3241 1
Pt3 0.3241 0.0000 0.6759 1
Pt4 0.3241 0.6482 0.3241 1
Pt5 0.0000 0.6759 0.3241 1
Pt6 0.6482 0.3241 0.3241 1
Pt7 0.3518 0.6759 0.6759 1
Pt8 0.0000 0.3241 0.6759 1
Pt9 0.3241 0.6759 0.0000 1
Pt10 0.6759 0.6759 0.3518 1
Pt11 0.3241 0.3241 0.6482 1
Pt12 0.6759 0.3241 0.0000 1
# - Total magnetic moment: 0.000 μB/cell
# - E: -6.32 eV per atom

***

# PBE NaPt2, optimized geometry
data_NaPt2
_symmetry_space_group_name_H-M 'P 1'
_symmetry_Int_Tables_number 1
_symmetry_space_group_name_Hall 'P 1'
_cell_length_a 5.3706
_cell_length_b 5.3706
_cell_length_c 8.7304
_cell_angle_alpha 90.00
_cell_angle_beta 90.00
_cell_angle_gamma 120.00
loop_
_atom_site_label
_atom_site_fract_x
_atom_site_fract_y
_atom_site_fract_z
_atom_site_occupancy
Na1 0.3333 0.6667 0.0672 1
Na2 0.3333 0.6667 0.4328 1
Na3 0.6667 0.3333 0.5672 1
Na4 0.6667 0.3333 0.9328 1
Pt1 0.0000 0.0000 0.0000 1
Pt2 0.0000 0.0000 0.5000 1
Pt3 0.1696 0.3392 0.7500 1
Pt4 0.1696 0.8304 0.7500 1
Pt5 0.3392 0.1696 0.2500 1
Pt6 0.6608 0.8304 0.7500 1
Pt7 0.8304 0.1696 0.2500 1
Pt8 0.8304 0.6608 0.2500 1
# - Energy above the lowest structure with this stoichiometry: 0.276 eV per formula unit
# - Total magnetic moment: 0.000 μB/cell
# - E: -4.76 eV per atom